# 1
Material: ZrInPO2
Method: DFT, PBE-GGA
State: relaxed

Geometry as extended XYZ:
```
5
Lattice="4.0659 0.0000 0.0000 0.0000 4.0659 0.0000 0.0000 0.0000 5.6048" Properties=species:S:1:pos:R:3 pbc="T T T"
P 0.0000 0.0000 2.8024
In 2.0330 2.0330 2.8024
O 2.0330 0.0000 0.0000
O 0.0000 2.0330 0.0000
Zr 0.0000 0.0000 0.0000
```

Results
The excess energy over the best structure of this formula in the dataset comes out at 0 meV per atom. The density of states at the Fermi level is 0.672 states/eV/atom. The raw formation energy is -1.484 eV per atom.



# 2
Material: LiTlPdO4
Method: DFT, PBE-GGA
State: relaxed

Geometry as extended XYZ:
```
14
Lattice="-4.4742 4.9327 -0.8640 -4.0263 0.0252 -5.1037 -6.3810 -1.1242 0.5278" Properties=species:S:1:pos:R:3 pbc="T T T"
O -5.7948 3.5970 -1.6509
O -9.0866 0.2367 -3.7891
O -3.9091 0.7735 -1.4386
O -5.5045 0.7375 -3.8637
O -9.3769 3.0962 -1.5762
O -10.9723 3.0602 -4.0013
O -8.1817 3.6891 -4.3807
O -6.6997 0.1446 -1.0592
Pd 0.0000 0.0000 0.0000
Pd -5.2036 -0.5495 -2.2880
Li -8.9840 0.6590 -1.9093
Li -5.8974 3.1747 -3.5306
Tl -5.4276 1.9042 -0.1681
Tl -3.1905 -0.5621 0.2639
```

Results
The raw formation energy is -0.846 eV per atom.



# 3
Material: Pm3LuCl
Method: DFT, PBE-GGA
State: relaxed

Geometry as extended XYZ:
```
5
Lattice="-3.9105 -2.1729 3.0221 0.1273 -4.4589 -3.0412 3.7200 -2.1316 3.2810" Properties=species:S:1:pos:R:3 pbc="T T T"
Pm -1.9553 -1.0864 1.5111
Pm 1.8600 -1.0658 1.6405
Pm 0.0637 -2.2295 -1.5206
Cl 0.0000 0.0000 0.0000
Lu -0.0316 -4.3817 1.6310
```

Results
The density of states at the Fermi level is 0.912 states/eV/atom. The raw formation energy is -0.477 eV per atom.



# 4
Material: Ba2SiPb
Method: DFT, PBE-GGA
State: relaxed

Geometry as extended XYZ:
```
4
Lattice="-2.2467 2.2692 -2.4237 -2.9535 -0.2490 2.6993 3.3606 8.0478 4.4196" Properties=species:S:1:pos:R:3 pbc="T T T"
Ba 3.0841 7.3856 4.0559
Ba -1.5033 3.6365 1.5802
Si -0.2970 6.5253 3.1666
Pb 1.9176 4.5921 2.5218
```

Results
The excess energy over the best structure of this formula in the dataset comes out at 385 meV per atom. The density of states at the Fermi level is 0.711 states/eV/atom. The raw formation energy is -0.050 eV per atom.



# 5
Material: Cs4Tl3GeI8
Method: DFT, PBE-GGA
State: relaxed

Geometry as extended XYZ:
```
16
Lattice="-9.9528 2.2488 -0.5631 -2.1634 -10.0521 -1.9065 5.4317 3.0376 8.8555" Properties=species:S:1:pos:R:3 pbc="T T T"
I -8.3790 -1.2065 -0.8356
I -0.3617 -0.6187 3.9232
I -5.3160 0.5169 3.2946
I -1.3685 -5.2826 3.0913
I -2.8637 -2.4526 -0.5236
I 1.6945 -3.5593 7.2215
I -3.8208 -2.3131 6.9095
I -6.3227 -4.1470 2.4628
Tl 1.6342 -3.5073 3.4745
Tl -3.3422 -2.3829 3.1930
Tl -6.0581 -3.9016 -1.2348
Cs 0.0000 0.0000 0.0000
Cs 2.7159 1.5188 4.4278
Cs -2.2606 2.6432 4.1462
Cs -4.9764 1.1244 -0.2815
Ge -1.0817 -5.0260 -0.9532
```

Results
The raw formation energy is -0.935 eV per atom.



# 6
Material: Sc2In2Mo
Method: DFT, PBE-GGA
State: relaxed

Geometry as extended XYZ:
```
10
Lattice="7.4462 0.0000 0.0000 0.0000 7.4462 0.0000 0.0000 0.0000 3.9259" Properties=species:S:1:pos:R:3 pbc="T T T"
Sc 1.2918 5.0149 1.9630
Sc 5.0149 6.1544 1.9630
Sc 2.4313 1.2918 1.9630
Sc 6.1544 2.4313 1.9630
In 1.0083 2.7148 0.0000
In 4.7314 1.0083 0.0000
In 2.7148 6.4379 0.0000
In 6.4379 4.7314 0.0000
Mo 0.0000 0.0000 0.0000
Mo 3.7231 3.7231 0.0000
```

Results
Its formation energy is 0.0762 eV per atom. The density of states at the Fermi level is 1.138 states/eV/atom.



no.,calculated total energy (eV per atom),magnetic moment (μB per atom)
1,-6.806,0.0000
2,-5.032,0.0000
3,-4.601,0.0001
4,-3.294,0.0000
5,-2.656,0.0625
6,-5.718,0.1864